Below is a relaxed structure of LiCaScPt, with properties calculated at the PBE-GGA level. Values from VASP.

```
&SYSTEM
  ibrav = 0, nat = 4, ntyp = 4
/
ATOMIC_SPECIES
Li 6.94 Li.upf
Pt 195.08 Pt.upf
Ca 40.08 Ca.upf
Sc 44.96 Sc.upf
CELL_PARAMETERS angstrom
-3.583 2.332 -2.283
-2.626 -2.294 -3.366
-4.615 -1.167 0.908
ATOMIC_POSITIONS crystal
Li 0.250 0.250 0.250
Pt 0.750 0.750 0.750
Ca 0.000 0.000 0.000
Sc 0.500 0.500 0.500
```

## Properties
ΔE_f (eV/atom): -0.56
Electronic total energy (eV per atom): -4.628
Space-group type: F-43m (216)
Theoretical density (Mg/m³): 5.92
DOS(E_F) (states/eV/atom): 0.955